Entry 1:
Material: PaAgSe4
Method: DFT, PBE-GGA
State: optimized geometry

Properties
crystal system = monoclinic
DFT total energy = -5.0422 eV per atom
formation energy from raw total energies = -4.0 eV/f.u.

CIF file:
```
data_PaAgSe4
_chemical_formula_sum 'Pa2 Ag2 Se8'
_space_group_name_H-M_alt 'P 1 21/c 1'
_space_group_IT_number 14
_cell_length_a 6.582
_cell_length_b 6.658
_cell_length_c 7.392
_cell_angle_alpha 90.00
_cell_angle_beta 95.30
_cell_angle_gamma 90.00
loop_
_space_group_symop_operation_xyz
'x,y,z'
'-x,-y,-z'
'-x,y+1/2,-z+1/2'
'x,-y+1/2,z+1/2'
loop_
_atom_site_label
_atom_site_type_symbol
_atom_site_fract_x
_atom_site_fract_y
_atom_site_fract_z
_atom_site_occupancy
Pa1 Pa 0.000 0.000 0.000 1
Ag1 Ag 0.500 0.000 0.500 1
Se1 Se 0.114 0.143 0.340 1
Se2 Se 0.397 0.616 0.402 1
```

Entry 2:
Material: Pa2Ag4Se5
Method: DFT, PBE-GGA
State: optimized geometry

Properties
crystal system = trigonal
DFT total energy = -4.8471 eV per atom
formation energy from raw total energies = -5.5 eV/f.u.

CIF file:
```
data_Pa2Ag4Se5
_chemical_formula_sum 'Pa6 Ag12 Se15'
_space_group_name_H-M_alt 'R -3 m'
_space_group_IT_number 166
_space_group_name_Hall '-R 3 2"'
_cell_length_a 4.2063
_cell_length_b 4.2063
_cell_length_c 53.7594
_cell_angle_alpha 90.00
_cell_angle_beta 90.00
_cell_angle_gamma 120.00
loop_
_atom_site_label
_atom_site_type_symbol
_atom_site_fract_x
_atom_site_fract_y
_atom_site_fract_z
_atom_site_occupancy
Pa1 Pa 0.0000 0.0000 0.1390 1
Ag1 Ag 0.0000 0.0000 0.3134 1
Ag2 Ag 0.0000 0.0000 0.4161 1
Se1 Se 0.0000 0.0000 0.2253 1
Se2 Se 0.0000 0.0000 0.3686 1
Se3 Se 0.0000 0.0000 0.5000 1
```

Entry 3:
Material: Pa2AgSe
Method: DFT, PBE-GGA
State: optimized geometry

Properties
crystal system = trigonal
DFT total energy = -6.3144 eV per atom
formation energy from raw total energies = 0.1 eV/f.u.

CIF file:
```
data_Pa2AgSe
_chemical_formula_sum 'Pa6 Ag3 Se3'
_space_group_name_H-M_alt 'R -3 m'
_space_group_IT_number 166
_space_group_name_Hall '-R 3 2"'
_cell_length_a 3.2837
_cell_length_b 3.2837
_cell_length_c 31.8687
_cell_angle_alpha 90.00
_cell_angle_beta 90.00
_cell_angle_gamma 120.00
loop_
_atom_site_label
_atom_site_type_symbol
_atom_site_fract_x
_atom_site_fract_y
_atom_site_fract_z
_atom_site_occupancy
Pa1 Pa 0.0000 0.0000 0.0976 1
Ag1 Ag 0.0000 0.0000 0.0000 1
Se1 Se 0.0000 0.0000 0.5000 1
```

Entry 4:
Material: Pa2Ag2Se7
Method: DFT, PBE-GGA
State: optimized geometry

Properties
crystal system = orthorhombic
DFT total energy = -5.1775 eV per atom
formation energy from raw total energies = -7.9 eV/f.u.

CIF file:
```
data_Pa2Ag2Se7
_chemical_formula_sum 'Pa4 Ag4 Se14'
_space_group_name_H-M_alt 'I m m 2'
_space_group_IT_number 44
_cell_length_a 4.251
_cell_length_b 15.445
_cell_length_c 8.754
_cell_angle_alpha 90.00
_cell_angle_beta 90.00
_cell_angle_gamma 90.00
loop_
_space_group_symop_operation_xyz
'x,y,z'
'-x,-y,z'
'-x,y,z'
'x,-y,z'
'x+1/2,y+1/2,z+1/2'
'-x+1/2,-y+1/2,z+1/2'
'-x+1/2,y+1/2,z+1/2'
'x+1/2,-y+1/2,z+1/2'
loop_
_atom_site_label
_atom_site_type_symbol
_atom_site_fract_x
_atom_site_fract_y
_atom_site_fract_z
_atom_site_occupancy
Pa1 Pa 0.000 0.000 0.000 1
Pa2 Pa 0.000 0.500 0.029 1
Ag1 Ag 0.000 0.259 0.726 1
Se1 Se 0.000 0.115 0.505 1
Se2 Se 0.000 0.189 0.032 1
Se3 Se 0.000 0.416 0.335 1
Se4 Se 0.000 0.500 0.710 1
```